K4AgCl: optimized geometry, PBE-GGA.

a b c (Å): 7.420 7.420 7.420
angles (deg): 60.00 60.00 60.00
Sites, in units of the cell vectors:
K 0.875 0.375 0.375
K 0.375 0.875 0.375
K 0.375 0.375 0.875
K 0.375 0.375 0.375
Ag 0.750 0.750 0.750
Cl 0.000 0.000 0.000

DFT total energy: -1.605 eV per atom
SG: F-43m
Size of the total moment: 0.00 μB per atom
Formation energy from raw total energies: -0.0902 eV per atom



KAg2Cl: optimized geometry, PBE-GGA.

a b c (Å): 9.191 9.191 7.079
angles (deg): 49.52 49.52 90.00
Sites, in units of the cell vectors:
Cl 0.500 0.500 0.000
Cl 0.250 0.750 0.500
K 0.000 0.000 0.000
K 0.750 0.250 0.500
Ag 0.875 0.823 0.750
Ag 0.375 0.427 0.750
Ag 0.177 0.625 0.250
Ag 0.573 0.125 0.250

Energy above the lowest structure with this stoichiometry: 126 kJ/mol of formula units
DFT total energy: -2.372 eV per atom
SG: I-42d
Size of the total moment: 0.00 μB per atom
Formation energy from raw total energies: -0.2108 eV per atom



KAg2Cl: optimized geometry, PBE-GGA.

a b c (Å): 3.384 5.550 5.658
angles (deg): 90.00 90.00 90.00
Sites, in units of the cell vectors:
K 0.500 0.500 0.750
Ag 0.000 0.000 0.504
Ag 0.000 0.000 0.996
Cl 0.500 0.500 0.250

Energy above the lowest structure with this stoichiometry: 134 kJ/mol of formula units
DFT total energy: -2.352 eV per atom
SG: Pmmm
Size of the total moment: 0.00 μB per atom
Formation energy from raw total energies: -0.1906 eV per atom



KAgCl: optimized geometry, PBE-GGA.

a b c (Å): 4.155 4.132 12.215
angles (deg): 90.00 90.00 120.18
Sites, in units of the cell vectors:
Cl 0.611 0.222 0.638
Cl 0.611 0.222 0.362
K 0.276 0.552 0.802
K 0.276 0.552 0.198
Ag 0.280 0.560 0.500
Ag 0.612 0.224 0.000

Energy above the lowest structure with this stoichiometry: 0 kJ/mol of formula units
DFT total energy: -2.583 eV per atom
SG: Amm2
Size of the total moment: 0.00 μB per atom
Formation energy from raw total energies: -0.6512 eV per atom



KAg2Cl6: optimized geometry, PBE-GGA.

a b c (Å): 5.212 8.236 8.572
angles (deg): 116.84 90.00 108.45
Sites, in units of the cell vectors:
Cl 0.785 0.569 0.147
Cl 0.215 0.431 0.853
Cl 0.054 0.109 0.125
Cl 0.624 0.248 0.499
Cl 0.376 0.752 0.501
Cl 0.946 0.891 0.875
Ag 0.287 0.574 0.183
Ag 0.713 0.426 0.817
K 0.000 0.000 0.500

Energy above the lowest structure with this stoichiometry: 0 kJ/mol of formula units
DFT total energy: -2.611 eV per atom
SG: C2/m
Size of the total moment: 0.00 μB per atom
Formation energy from raw total energies: -0.6240 eV per atom



K2AgCl: optimized geometry, PBE-GGA.

a b c (Å): 6.714 4.731 4.736
angles (deg): 90.02 90.00 90.00
Sites, in units of the cell vectors:
Ag 0.000 0.375 0.375
Cl 0.500 0.874 0.875
K 0.000 0.875 0.875
K 0.500 0.376 0.375

Energy above the lowest structure with this stoichiometry: 12 kJ/mol of formula units
DFT total energy: -2.582 eV per atom
SG: Amm2
Size of the total moment: 0.00 μB per atom
Formation energy from raw total energies: -0.8586 eV per atom



K3AgCl6: optimized geometry, PBE-GGA.

a b c (Å): 7.392 8.294 10.302
angles (deg): 90.00 85.35 90.00
Sites, in units of the cell vectors:
Cl 0.264 0.842 0.035
Cl 0.368 0.565 0.712
Cl 0.132 0.065 0.788
Cl 0.736 0.158 0.965
Cl 0.814 0.707 0.904
Cl 0.314 0.793 0.404
Cl 0.186 0.293 0.096
Cl 0.686 0.207 0.596
Cl 0.868 0.935 0.212
Cl 0.632 0.435 0.288
Cl 0.764 0.658 0.535
Cl 0.236 0.342 0.465
K 0.538 0.918 0.759
K 0.500 0.500 0.000
K 0.462 0.082 0.241
K 0.038 0.582 0.259
K 0.962 0.418 0.741
K 0.000 0.000 0.500
Ag 0.000 0.000 0.000
Ag 0.500 0.500 0.500

Energy above the lowest structure with this stoichiometry: 16 kJ/mol of formula units
DFT total energy: -2.951 eV per atom
SG: P2_1/c
Size of the total moment: 0.02 μB per atom
Formation energy from raw total energies: -1.2285 eV per atom



KAg2Cl7: optimized geometry, PBE-GGA.

a b c (Å): 4.436 9.917 9.917
angles (deg): 135.90 90.00 90.00
Sites, in units of the cell vectors:
Cl 0.000 0.303 0.697
Cl 0.500 0.500 0.500
Cl 0.500 0.274 0.036
Cl 0.500 0.036 0.274
Cl 0.500 0.726 0.964
Cl 0.000 0.697 0.303
Cl 0.500 0.964 0.726
Ag 0.500 0.639 0.361
Ag 0.500 0.361 0.639
K 0.000 0.000 0.000

DFT total energy: -2.466 eV per atom
SG: Cmmm
Size of the total moment: 0.00 μB per atom
Formation energy from raw total energies: -0.4933 eV per atom